(P)
VASP calculation (GGA-PBE) on NaAgAs after structural relaxation.

a b c (Å): 4.708 5.734 6.543
angles (deg): 60.56 68.92 65.76
Fractional coordinates of all 6 atoms:
Ag 0.419 0.804 0.357
Ag 0.581 0.196 0.643
As 0.111 0.984 0.794
As 0.889 0.016 0.206
Na 0.831 0.578 0.759
Na 0.169 0.422 0.241

Volume: 22.91 A^3/atom

(Q)
VASP calculation (GGA-PBE) on NaAgAs after structural relaxation.

a b c (Å): 4.391 7.126 12.507
angles (deg): 90.00 90.00 90.00
Fractional coordinates of all 18 atoms:
Na 0.000 0.246 0.959
Na 0.000 0.754 0.041
Na 0.000 0.246 0.541
Na 0.000 0.754 0.459
Na 0.000 0.130 0.250
Na 0.000 0.870 0.750
Ag 0.500 0.423 0.128
Ag 0.500 0.577 0.872
Ag 0.500 0.423 0.372
Ag 0.500 0.577 0.628
Ag 0.500 0.790 0.250
Ag 0.500 0.210 0.750
As 0.500 0.058 0.091
As 0.500 0.942 0.909
As 0.500 0.058 0.409
As 0.500 0.942 0.591
As 0.000 0.553 0.250
As 0.000 0.447 0.750

Volume: 21.74 A^3/atom

(R)
VASP calculation (GGA-PBE) on NaAgAs after structural relaxation.

a b c (Å): 3.349 4.613 4.613
angles (deg): 120.00 90.00 90.00
Fractional coordinates of all 3 atoms:
Na 0.667 0.667 0.333
As 0.166 0.333 0.667
Ag 0.167 0.000 0.000

Volume: 20.58 A^3/atom

(S)
VASP calculation (GGA-PBE) on NaAgAs after structural relaxation.

a b c (Å): 4.632 6.861 7.998
angles (deg): 90.00 90.00 90.00
Fractional coordinates of all 12 atoms:
Na 0.000 0.000 0.768
Na 0.500 0.500 0.268
Na 0.000 0.500 0.701
Na 0.500 0.000 0.201
Ag 0.000 0.725 0.074
Ag 0.000 0.275 0.074
Ag 0.500 0.225 0.574
Ag 0.500 0.775 0.574
As 0.000 0.809 0.404
As 0.000 0.191 0.404
As 0.500 0.309 0.904
As 0.500 0.691 0.904

Volume: 21.18 A^3/atom

The energy of each structure relative to the most stable one, in meV/atom, is as follows: (P) 76; (Q) 55; (R) 32; (S) 0.

(P)
VASP calculation (GGA-PBE) on NaAgAs after structural relaxation.

a b c (Å): 4.579 4.579 4.579
angles (deg): 60.00 60.00 60.00
Fractional coordinates of all 3 atoms:
Na 0.500 0.500 0.500
As 0.250 0.250 0.250
Ag 0.000 0.000 0.000

Volume: 22.64 A^3/atom

(Q)
VASP calculation (GGA-PBE) on NaAgAs after structural relaxation.

a b c (Å): 4.259 4.259 9.860
angles (deg): 90.00 90.00 60.00
Fractional coordinates of all 6 atoms:
Na 0.155 0.561 0.983
Na 0.155 0.561 0.595
Ag 0.822 0.227 0.789
Ag 0.488 0.894 0.289
As 0.821 0.228 0.167
As 0.821 0.228 0.411

Volume: 25.81 A^3/atom

The energy of each structure relative to the most stable one, in meV/atom, is as follows: (P) 0; (Q) 63.

(P)
VASP calculation (GGA-PBE) on NaAg2As2 after structural relaxation.

a b c (Å): 8.189 8.189 3.032
angles (deg): 90.00 90.00 90.00
Fractional coordinates of all 10 atoms:
Na 0.000 0.000 0.000
Na 0.500 0.500 0.000
As 0.167 0.667 0.500
As 0.667 0.833 0.500
As 0.833 0.333 0.500
As 0.333 0.167 0.500
Ag 0.369 0.869 0.000
Ag 0.869 0.631 0.000
Ag 0.631 0.131 0.000
Ag 0.131 0.369 0.000

Volume: 20.33 A^3/atom

(Q)
VASP calculation (GGA-PBE) on NaAg2As2 after structural relaxation.

a b c (Å): 4.921 4.921 5.945
angles (deg): 65.55 65.55 90.00
Fractional coordinates of all 5 atoms:
Na 0.000 0.000 0.000
As 0.750 0.250 0.500
As 0.250 0.750 0.500
Ag 0.351 0.351 0.298
Ag 0.649 0.649 0.702

Volume: 23.34 A^3/atom

(R)
VASP calculation (GGA-PBE) on NaAg2As2 after structural relaxation.

a b c (Å): 8.194 8.194 3.049
angles (deg): 90.00 90.00 90.00
Fractional coordinates of all 10 atoms:
Na 0.000 0.000 0.000
Na 0.500 0.500 0.000
As 0.342 0.842 0.000
As 0.842 0.658 0.000
As 0.658 0.158 0.000
As 0.158 0.342 0.000
Ag 0.141 0.641 0.500
Ag 0.641 0.859 0.500
Ag 0.859 0.359 0.500
Ag 0.359 0.141 0.500

Volume: 20.47 A^3/atom

The energy of each structure relative to the most stable one, in meV/atom, is as follows: (P) 0; (Q) 49; (R) 13.

(P)
VASP calculation (GGA-PBE) on NaAgAs2 after structural relaxation.

a b c (Å): 4.818 4.818 4.818
angles (deg): 60.00 60.00 60.00
Fractional coordinates of all 4 atoms:
Na 0.000 0.000 0.000
As 0.250 0.250 0.250
As 0.750 0.750 0.750
Ag 0.500 0.500 0.500

Volume: 19.77 A^3/atom

(Q)
VASP calculation (GGA-PBE) on NaAgAs2 after structural relaxation.

a b c (Å): 4.375 4.375 10.022
angles (deg): 77.39 77.39 90.00
Fractional coordinates of all 8 atoms:
Na 0.500 0.500 0.000
Na 0.250 0.750 0.500
As 0.703 0.125 0.250
As 0.047 0.625 0.250
As 0.375 0.297 0.750
As 0.875 0.953 0.750
Ag 0.000 0.000 0.000
Ag 0.750 0.250 0.500

Volume: 22.81 A^3/atom

The energy of each structure relative to the most stable one, in meV/atom, is as follows: (P) 89; (Q) 0.

(P)
VASP calculation (GGA-PBE) on Na2AgAs after structural relaxation.

a b c (Å): 11.203 11.203 8.297
angles (deg): 47.54 47.54 90.00
Fractional coordinates of all 8 atoms:
Na 0.378 0.125 0.250
Na 0.372 0.625 0.250
Na 0.375 0.622 0.750
Na 0.875 0.628 0.750
As 0.500 0.500 0.000
As 0.250 0.750 0.500
Ag 0.000 0.000 0.000
Ag 0.750 0.250 0.500

Volume: 38.70 A^3/atom

(Q)
VASP calculation (GGA-PBE) on Na2AgAs after structural relaxation.

a b c (Å): 4.949 4.949 4.949
angles (deg): 60.00 60.00 60.00
Fractional coordinates of all 4 atoms:
Na 0.250 0.250 0.250
Na 0.750 0.750 0.750
As 0.000 0.000 0.000
Ag 0.500 0.500 0.500

Volume: 21.43 A^3/atom

The energy of each structure relative to the most stable one, in meV/atom, is as follows: (P) 0; (Q) 58.

(P)
VASP calculation (GGA-PBE) on NaAgAsPd after structural relaxation.

a b c (Å): 4.632 4.632 4.632
angles (deg): 60.00 60.00 60.00
Fractional coordinates of all 4 atoms:
Na 0.500 0.500 0.500
As 0.000 0.000 0.000
Pd 0.750 0.750 0.750
Ag 0.250 0.250 0.250

Volume: 17.56 A^3/atom

(Q)
VASP calculation (GGA-PBE) on NaAgAsPd after structural relaxation.

a b c (Å): 4.137 4.137 9.532
angles (deg): 90.00 90.00 90.00
Fractional coordinates of all 8 atoms:
Na 0.750 0.750 0.255
Na 0.250 0.250 0.745
Ag 0.250 0.750 0.500
Ag 0.750 0.250 0.500
As 0.750 0.750 0.845
As 0.250 0.250 0.155
Pd 0.750 0.250 0.000
Pd 0.250 0.750 0.000

Volume: 20.40 A^3/atom

The energy of each structure relative to the most stable one, in meV/atom, is as follows: (P) 65; (Q) 0.

(P)
VASP calculation (GGA-PBE) on NaAgAsSe2 after structural relaxation.

a b c (Å): 5.141 5.141 5.013
angles (deg): 90.00 90.00 90.00
Fractional coordinates of all 5 atoms:
Na 0.000 0.000 0.000
As 0.000 0.000 0.500
Se 0.000 0.500 0.000
Se 0.500 0.000 0.000
Ag 0.500 0.500 0.500

Volume: 26.50 A^3/atom

(Q)
VASP calculation (GGA-PBE) on NaAgAsSe2 after structural relaxation.

a b c (Å): 5.277 5.277 4.908
angles (deg): 90.00 90.00 90.00
Fractional coordinates of all 5 atoms:
Na 0.500 0.500 0.500
As 0.000 0.000 0.500
Se 0.000 0.500 0.000
Se 0.500 0.000 0.000
Ag 0.000 0.000 0.000

Volume: 27.33 A^3/atom

The energy of each structure relative to the most stable one, in meV/atom, is as follows: (P) 576; (Q) 0.

(P)
VASP calculation (GGA-PBE) on Ni2Ag2As after structural relaxation.

a b c (Å): 5.964 5.964 4.333
angles (deg): 90.00 90.00 90.00
Fractional coordinates of all 10 atoms:
Ni 0.356 0.856 0.000
Ni 0.856 0.644 0.000
Ni 0.644 0.144 0.000
Ni 0.144 0.356 0.000
As 0.000 0.000 0.000
As 0.500 0.500 0.000
Ag 0.165 0.665 0.500
Ag 0.665 0.835 0.500
Ag 0.835 0.335 0.500
Ag 0.335 0.165 0.500

Volume: 15.41 A^3/atom

(Q)
VASP calculation (GGA-PBE) on Ni2Ag2As after structural relaxation.

a b c (Å): 8.174 8.174 8.174
angles (deg): 157.00 157.00 32.76
Each line ends with the local moment (μB).
Fractional coordinates of all 5 atoms:
Ni 0.250 0.750 0.500  0.57
Ni 0.750 0.250 0.500  0.57
Ag 0.610 0.610 0.000  0.00
Ag 0.390 0.390 0.000  0.00
As 0.000 0.000 0.000  0.01

Volume: 16.66 A^3/atom

The energy of each structure relative to the most stable one, in meV/atom, is as follows: (P) 0; (Q) 378.

(P)
VASP calculation (GGA-PBE) on NiAgAs after structural relaxation.

a b c (Å): 4.037 4.037 3.438
angles (deg): 90.00 90.00 120.00
Fractional coordinates of all 3 atoms:
Ag 0.000 0.000 0.000
As 0.333 0.667 0.500
Ni 0.667 0.333 0.500

Volume: 16.18 A^3/atom

(Q)
VASP calculation (GGA-PBE) on NiAgAs after structural relaxation.

a b c (Å): 3.978 3.978 6.118
angles (deg): 90.00 90.00 90.00
Fractional coordinates of all 6 atoms:
Ni 0.000 0.000 0.500
Ni 0.500 0.500 0.500
As 0.000 0.500 0.272
As 0.500 0.000 0.728
Ag 0.000 0.500 0.834
Ag 0.500 0.000 0.166

Volume: 16.13 A^3/atom

(R)
VASP calculation (GGA-PBE) on NiAgAs after structural relaxation.

a b c (Å): 3.017 3.017 6.215
angles (deg): 90.00 90.00 120.00
Fractional coordinates of all 3 atoms:
Ag 0.000 0.000 0.975
As 0.667 0.333 0.388
Ni 0.333 0.667 0.637

Volume: 16.33 A^3/atom

(S)
VASP calculation (GGA-PBE) on NiAgAs after structural relaxation.

a b c (Å): 5.775 5.775 2.986
angles (deg): 75.01 75.01 29.97
Fractional coordinates of all 3 atoms:
Ag 0.013 0.013 0.987
As 0.298 0.298 0.702
Ni 0.689 0.689 0.311

Volume: 15.98 A^3/atom

The energy of each structure relative to the most stable one, in meV/atom, is as follows: (P) 120; (Q) 0; (R) 106; (S) 64.

(P)
VASP calculation (GGA-PBE) on Ni2AgAs2 after structural relaxation.

a b c (Å): 7.048 7.048 3.007
angles (deg): 90.00 90.00 90.00
Fractional coordinates of all 10 atoms:
Ni 0.370 0.870 0.000
Ni 0.870 0.630 0.000
Ni 0.630 0.130 0.000
Ni 0.130 0.370 0.000
As 0.161 0.661 0.500
As 0.661 0.839 0.500
As 0.839 0.339 0.500
As 0.339 0.161 0.500
Ag 0.000 0.000 0.000
Ag 0.500 0.500 0.000

Volume: 14.93 A^3/atom

(Q)
VASP calculation (GGA-PBE) on Ni2AgAs2 after structural relaxation.

a b c (Å): 3.993 3.993 5.857
angles (deg): 70.07 70.07 90.00
Fractional coordinates of all 5 atoms:
Ni 0.380 0.380 0.240
Ni 0.620 0.620 0.760
As 0.750 0.250 0.500
As 0.250 0.750 0.500
Ag 0.000 0.000 0.000

Volume: 16.36 A^3/atom

(R)
VASP calculation (GGA-PBE) on Ni2AgAs2 after structural relaxation.

a b c (Å): 4.108 4.108 5.587
angles (deg): 68.43 68.43 90.00
Fractional coordinates of all 5 atoms:
Ni 0.750 0.250 0.500
Ni 0.250 0.750 0.500
As 0.371 0.371 0.259
As 0.629 0.629 0.741
Ag 0.000 0.000 0.000

Volume: 16.11 A^3/atom

The energy of each structure relative to the most stable one, in meV/atom, is as follows: (P) 23; (Q) 172; (R) 0.